The following is a meta-GGA SCAN calculation of a PBEsol-optimized structure of ZrTe2C, from Alexandria via LeMat-Bulk.

Computed properties:
Formation energy from raw total energies = 807 meV/atom
Final energy = -2.0593 Ry/atom

Cell lengths 8.0768, 8.0768, 8.0768 Å; angles 26.57, 26.57, 26.57 degrees
Closest atoms and distances in Å follow each position.
Fractional coordinates of all 4 atoms:
Zr (0.0000, 0.0000, 0.0000)  6 Te 2.88
Te (0.4158, 0.4158, 0.4158)  1 C 1.97
Te (0.5842, 0.5842, 0.5842)  1 C 1.97
C (0.5000, 0.5000, 0.5000)  2 Te 1.97